Arrangement w

A relaxed KMgIn6 crystal, computed with PBE-GGA.

a b c (Å): 5.2047 5.2047 8.9614
angles (deg): 90.00 90.00 90.00
Sites, in units of the cell vectors:
K: 0.0000 0.0000 0.0000
Mg: 0.0000 0.0000 0.5000
In: 0.0000 0.5000 0.3282
In: 0.0000 0.5000 0.6718
In: 0.5000 0.0000 0.3282
In: 0.5000 0.0000 0.6718
In: 0.5000 0.5000 0.1610
In: 0.5000 0.5000 0.8390

Fermi-level density of states, states/eV per atom: 0.300
Space group: P4/mmm

Arrangement x

A relaxed KMgIn6 crystal, computed with PBE-GGA.

a b c (Å): 10.4590 10.4590 10.4590
angles (deg): 28.84 28.84 28.84
Sites, in units of the cell vectors:
K: 0.0000 0.0000 0.0000
Mg: 0.5000 0.5000 0.5000
In: 0.1331 0.1331 0.1331
In: 0.2423 0.2423 0.2423
In: 0.3988 0.3988 0.3988
In: 0.6012 0.6012 0.6012
In: 0.7577 0.7577 0.7577
In: 0.8669 0.8669 0.8669

Fermi-level density of states, states/eV per atom: 0.425
Space group: R-3m

The structure with the least stability is arrangement x.

Arrangement w

A relaxed KMgTl2In crystal, computed with PBE-GGA.

a b c (Å): 6.3790 6.3790 5.6281
angles (deg): 90.00 90.00 90.00
Sites, in units of the cell vectors:
K: 0.0000 0.0000 0.0000
Mg: 0.5000 0.5000 0.0000
Tl: 0.0000 0.5000 0.5000
Tl: 0.5000 0.0000 0.5000
In: 0.5000 0.5000 0.5000

Fermi-level density of states, states/eV per atom: 0.351
Space group: P4/mmm

Arrangement x

A relaxed KMgTl2In crystal, computed with PBE-GGA.

a b c (Å): 5.6795 5.6795 5.5735
angles (deg): 90.00 90.00 90.00
Sites, in units of the cell vectors:
K: 0.0000 0.0000 0.0000
Mg: 0.5000 0.5000 0.5000
Tl: 0.0000 0.5000 0.5000
Tl: 0.5000 0.0000 0.5000
In: 0.5000 0.5000 0.0000

Fermi-level density of states, states/eV per atom: 0.791
Space group: P4/mmm

The structure with the least stability is arrangement w.

Arrangement w

A relaxed KMnIn2 crystal, computed with PBE-GGA.

a b c (Å): 3.2082 4.5639 7.9415
angles (deg): 90.00 90.05 90.00
Sites, in units of the cell vectors:
K: 0.0000 0.0000 0.0000
Mn: 0.9982 0.5000 0.3907
In: 0.4982 0.0000 0.4196
In: 0.4994 0.5000 0.6986

Fermi-level density of states, states/eV per atom: 0.711
Space group: Pm

Arrangement x

A relaxed KMnIn2 crystal, computed with PBE-GGA.

a b c (Å): 5.9125 3.2363 6.2931
angles (deg): 90.00 114.62 90.00
Sites, in units of the cell vectors:
K: 0.0000 0.0000 0.0000
Mn: 0.0000 0.5000 0.5000
In: 0.5000 0.0000 0.5000
In: 0.5000 0.5000 0.0000

Fermi-level density of states, states/eV per atom: 0.701
Space group: P2/m

Arrangement y

A relaxed KMnIn2 crystal, computed with PBE-GGA.

a b c (Å): 6.6303 6.6303 6.6303
angles (deg): 151.86 125.68 62.29
Sites, in units of the cell vectors:
K: 0.0000 0.0000 0.0000
Mn: 0.5000 0.5000 0.0000
In: 0.2925 0.7925 0.5000
In: 0.7075 0.2075 0.5000

Fermi-level density of states, states/eV per atom: 0.781
Space group: Immm

The structure with the least stability is arrangement x.

Arrangement w

A relaxed KMnIn2 crystal, computed with PBE-GGA.

a b c (Å): 4.7859 4.7859 4.6506
angles (deg): 90.00 90.00 90.00
Sites, in units of the cell vectors:
K: 0.0000 0.0000 0.0000
Mn: 0.5000 0.5000 0.0000
In: 0.0000 0.5000 0.5000
In: 0.5000 0.0000 0.5000

Fermi-level density of states, states/eV per atom: 0.656
Space group: P4/mmm

Arrangement x

A relaxed KMnIn2 crystal, computed with PBE-GGA.

a b c (Å): 4.8384 4.8384 7.8919
angles (deg): 95.53 95.53 38.24
Sites, in units of the cell vectors:
K: 0.0000 0.0000 0.0000
Mn: 0.5000 0.5000 0.5000
In: 0.2392 0.2392 0.6755
In: 0.7608 0.7608 0.3245

Fermi-level density of states, states/eV per atom: 0.590
Space group: C2/m

Arrangement y

A relaxed KMnIn2 crystal, computed with PBE-GGA.

a b c (Å): 5.2630 5.2630 5.2630
angles (deg): 60.00 60.00 60.00
Sites, in units of the cell vectors:
K: 0.0000 0.0000 0.0000
Mn: 0.5000 0.5000 0.5000
In: 0.2500 0.2500 0.2500
In: 0.7500 0.7500 0.7500

Fermi-level density of states, states/eV per atom: 0.413
Space group: Fm-3m

The structure with the least stability is arrangement w.

Arrangement w

A relaxed KInMo crystal, computed with PBE-GGA.

a b c (Å): 5.3779 5.3779 5.3779
angles (deg): 60.00 60.00 60.00
Sites, in units of the cell vectors:
K: 0.0000 0.0000 0.0000
In: 0.2500 0.2500 0.2500
Mo: 0.7500 0.7500 0.7500

Fermi-level density of states, states/eV per atom: 1.175
Space group: F-43m

Arrangement x

A relaxed KInMo crystal, computed with PBE-GGA.

a b c (Å): 6.8781 6.8781 6.8781
angles (deg): 147.51 147.51 46.61
Sites, in units of the cell vectors:
K: 0.0000 0.0000 0.0000
In: 0.7302 0.7302 0.0000
Mo: 0.2682 0.2682 0.0000

Fermi-level density of states, states/eV per atom: 0.369
Space group: I4mm

Arrangement y

A relaxed KInMo crystal, computed with PBE-GGA.

a b c (Å): 8.5761 8.5338 2.9000
angles (deg): 81.07 79.42 19.51
Sites, in units of the cell vectors:
K: 0.0000 0.0000 0.0000
In: 0.6817 0.6817 0.3183
Mo: 0.3181 0.3181 0.6819

Fermi-level density of states, states/eV per atom: 0.477
Space group: Fmm2

Arrangement z

A relaxed KInMo crystal, computed with PBE-GGA.

a b c (Å): 3.0581 3.0581 8.5775
angles (deg): 90.00 90.00 120.00
Sites, in units of the cell vectors:
K: 0.0000 0.0000 0.0000
In: 0.3333 0.6667 0.6327
Mo: 0.6667 0.3333 0.3545

Fermi-level density of states, states/eV per atom: 0.825
Space group: P3m1

The structure with the least stability is arrangement w.

Arrangement w

A relaxed KIn3Mo crystal, computed with PBE-GGA.

a b c (Å): 5.3623 5.3623 5.3623
angles (deg): 90.00 90.00 90.00
Sites, in units of the cell vectors:
K: 0.0000 0.0000 0.0000
In: 0.0000 0.5000 0.5000
In: 0.5000 0.0000 0.5000
In: 0.5000 0.5000 0.0000
Mo: 0.5000 0.5000 0.5000

Fermi-level density of states, states/eV per atom: 0.655
Space group: Pm-3m

Arrangement x

A relaxed KIn3Mo crystal, computed with PBE-GGA.

a b c (Å): 5.8493 5.8493 5.8493
angles (deg): 90.00 90.00 90.00
Sites, in units of the cell vectors:
K: 0.0000 0.0000 0.0000
In: 0.0000 0.0000 0.5000
In: 0.0000 0.5000 0.0000
In: 0.5000 0.0000 0.0000
Mo: 0.5000 0.5000 0.5000

Fermi-level density of states, states/eV per atom: 0.825
Space group: Pm-3m

The structure with the least stability is arrangement x.